Entry 1:
Compound: Dy2Ga2Ru2C
Source: Alexandria via LeMat-Bulk
Functional: PBE-GGA
Structure: relaxed

a = 4.0634 Å, b = 5.9015 Å, c = 6.0551 Å
α = 72.27°, β = 70.39°, γ = 69.86°
Sites, in units of the cell vectors:
Dy: 0.5617 0.1653 0.7114
Dy: 0.4383 0.8347 0.2886
Ga: 0.1491 0.3905 0.3112
Ga: 0.8509 0.6095 0.6888
Ru: 0.1984 0.6947 0.9084
Ru: 0.8016 0.3053 0.0916
C: 0.0000 0.0000 0.0000

Results
The value obtained for the formation energy is -0.559 eV/atom. As for the crystal system: monoclinic.

Entry 2:
Compound: PmPaSi2Pt2
Source: Alexandria via LeMat-Bulk
Functional: PBE-GGA
Structure: relaxed

a = 4.2348 Å, b = 4.2348 Å, c = 7.8954 Å
α = 90.00°, β = 90.00°, γ = 120.00°
Sites, in units of the cell vectors:
Pm: 0.0000 0.0000 0.0000
Pa: 0.0000 0.0000 0.5000
Si: 0.6667 0.3333 0.2536
Si: 0.3333 0.6667 0.7464
Pt: 0.6667 0.3333 0.7283
Pt: 0.3333 0.6667 0.2717

Results
As for the energy relative to the elements, uncorrected: -1.07 eV/atom. As for the crystal system: trigonal.

Entry 3:
Compound: Nd4Ho2Sc3
Source: Alexandria via LeMat-Bulk
Functional: PBE-GGA
Structure: relaxed

a = 5.0089 Å, b = 6.0270 Å, c = 10.4785 Å
α = 73.89°, β = 90.00°, γ = 65.47°
Sites, in units of the cell vectors:
Nd: 0.6656 0.6688 0.8871
Nd: 0.0060 0.9878 0.3361
Nd: 0.9940 0.0122 0.6639
Nd: 0.3344 0.3312 0.1129
Ho: 0.3294 0.3413 0.7716
Ho: 0.6706 0.6587 0.2284
Sc: 0.3358 0.3283 0.4487
Sc: 0.0000 0.0000 0.0000
Sc: 0.6642 0.6717 0.5513

Results
The value obtained for the formation energy is 0.051 eV/atom. As for the crystal system: monoclinic.